The following is a PBE calculation of SrBeAg2 after structural relaxation, from Alexandria.

Properties
magnetization: 0.000 μB per cell
energy: -10.63 eV per formula unit
crystal system: monoclinic

Cell lengths 3.773, 4.279, 6.024 Å; angles 90.00, 108.02, 90.00 degrees
Fractional coordinates of all 4 atoms:
Sr1 0.000 0.000 0.000
Be1 0.352 0.500 0.699
Ag1 0.275 0.000 0.541
Ag2 0.712 0.500 0.417